No. 1
Here is crystalline Cd3Cu at its relaxed geometry from Alexandria via LeMat-Bulk. Energies are from GGA-PBE.

Lattice parameters (Å, degrees): 9.575 9.575 2.928 90.00 90.00 120.00
Atoms (fractional coordinates):
Cd 0.000 0.500 0.000
Cd 0.167 0.333 0.333
Cd 0.167 0.833 0.333
Cd 0.333 0.167 0.667
Cd 0.500 0.000 0.000
Cd 0.500 0.500 0.000
Cd 0.667 0.833 0.333
Cd 0.833 0.167 0.667
Cd 0.833 0.667 0.667
Cu 0.000 0.000 0.000
Cu 0.333 0.667 0.667
Cu 0.667 0.333 0.333

Computed properties:
- total DFT energy (no corrections) (eV/atom) = -1.561
- DOS(E_F) (states/eV/f.u.) = 1.1
- V (Å³ per atom) = 19.371
- E_form (kJ per mole of atoms) = 14.37
- spin magnetization (μB per cell) = 0.0


No. 2
Here is crystalline TmNp3S4 at its relaxed geometry from Alexandria via LeMat-Bulk. Energies are from GGA-PBE.

Lattice parameters (Å, degrees): 5.504 5.504 11.003 90.00 90.00 90.00
Atoms (fractional coordinates):
Tm 0.000 0.000 0.000
Tm 0.500 0.500 0.500
Np 0.000 0.000 0.500
Np 0.000 0.500 0.250
Np 0.000 0.500 0.750
Np 0.500 0.000 0.250
Np 0.500 0.000 0.750
Np 0.500 0.500 0.000
S 0.000 0.000 0.249
S 0.000 0.000 0.751
S 0.000 0.500 0.000
S 0.000 0.500 0.500
S 0.500 0.000 0.000
S 0.500 0.000 0.500
S 0.500 0.500 0.251
S 0.500 0.500 0.749

Computed properties:
- total DFT energy (no corrections) (eV/atom) = -8.984
- formation energy (no corrections) (meV per atom) = -1509
- DOS(E_F) (states/eV/f.u.) = 21.1
- V (Å³ per atom) = 20.836
- spin magnetization (μB per cell) = 25.4


No. 3
Here is crystalline LiYZn3 at its relaxed geometry from Alexandria via LeMat-Bulk. Energies are from GGA-PBE.

Lattice parameters (Å, degrees): 4.497 4.497 4.497 90.00 90.00 90.00
Atoms (fractional coordinates):
Li 0.000 0.000 0.000
Y 0.500 0.500 0.500
Zn 0.000 0.000 0.500
Zn 0.000 0.500 0.000
Zn 0.500 0.000 0.000

Computed properties:
- total DFT energy (no corrections) (eV/atom) = -2.514
- DOS(E_F) (states/eV/f.u.) = 2.9
- V (Å³ per atom) = 18.185
- E_form (kJ per mole of atoms) = -7.17
- offset from the most stable computed form (kcal/mol of atoms) = 3.21
- spin magnetization (μB per cell) = 0.0